*P*
A plane-wave DFT calculation with PBE-GGA was carried out for crystalline AlCrTe2I at its relaxed geometry.

Fermi-level density of states: 5.07 states/eV per cell

Structure (POSCAR):
```
AlCrTe2I
1.0
5.372 0.000 0.000
0.000 5.372 0.000
0.000 0.000 5.521
Al Cr Te I
1 1 2 1
Direct
0.000 0.000 0.000 Al
0.500 0.500 0.500 Cr
0.000 0.500 0.000 Te
0.500 0.000 0.000 Te
0.000 0.000 0.500 I
```


*Q*
A plane-wave DFT calculation with PBE-GGA was carried out for crystalline AlCrTe2I at its relaxed geometry.

Fermi-level density of states: 4.03 states/eV per cell

Structure (POSCAR):
```
AlCrTe2I
1.0
5.228 0.000 0.000
0.000 5.228 0.000
0.000 0.000 5.774
Al Cr Te I
1 1 2 1
Direct
0.000 0.000 0.000 Al
0.500 0.500 0.500 Cr
0.000 0.500 0.500 Te
0.500 0.000 0.500 Te
0.500 0.500 0.000 I
```


Q: Which of them is the most stable? A: *Q*.


*P*
A plane-wave DFT calculation with PBE-GGA was carried out for crystalline AlCr3In at its relaxed geometry.

Fermi-level density of states: 6.80 states/eV per cell

Structure (POSCAR):
```
AlCr3In
1.0
5.055 0.000 0.000
0.000 5.055 0.000
0.000 0.000 5.055
Al Cr In
1 3 1
Direct
0.000 0.000 0.000 Al
0.000 0.500 0.500 Cr
0.500 0.000 0.500 Cr
0.500 0.500 0.000 Cr
0.500 0.500 0.500 In
```


*Q*
A plane-wave DFT calculation with PBE-GGA was carried out for crystalline AlCr3In at its relaxed geometry.

Fermi-level density of states: 4.39 states/eV per cell

Structure (POSCAR):
```
AlCr3In
1.0
4.563 0.000 0.000
0.000 4.563 0.000
0.000 0.000 4.563
Al Cr In
1 3 1
Direct
0.000 0.000 0.000 Al
0.000 0.000 0.500 Cr
0.000 0.500 0.000 Cr
0.500 0.000 0.000 Cr
0.500 0.500 0.500 In
```


Q: Which of them is the most stable? A: *Q*.